# 1
This record from Alexandria describes crystalline BaTeO2F at its relaxed geometry. The functional is PBE-GGA. Values from VASP.

Computed properties:
- spin magnetization (μB/cell) = 0.000
- formation energy (no corrections) (meV/atom) = -1777
- V (Å³ per cell) = 93.3
- energy (eV/atom) = -5.15
- N(E_F) (states/eV/f.u.) = 1.01

The structure in Quantum ESPRESSO input format:
```
&SYSTEM
  ibrav = 0, nat = 5, ntyp = 4
/
ATOMIC_SPECIES
Ba 137.33 Ba.upf
Te 127.60 Te.upf
F 19.00 F.upf
O 16.00 O.upf
CELL_PARAMETERS angstrom
4.295 0.000 0.000
0.000 4.295 0.000
0.000 0.000 5.056
ATOMIC_POSITIONS angstrom
Ba 2.147 2.147 2.528
Te 0.000 0.000 0.000
F 0.000 0.000 2.528
O 2.147 0.000 0.000
O 0.000 2.147 0.000
```

***

# 2
This record from Alexandria describes crystalline ZnGeTe2Pb at its relaxed geometry. The functional is PBE-GGA. Values from VASP.

Computed properties:
- spin magnetization (μB/cell) = 0.000
- formation energy (no corrections) (meV/atom) = 658
- V (Å³ per cell) = 181.4
- energy (eV/atom) = -2.52
- N(E_F) (states/eV/f.u.) = 3.25

The structure in Quantum ESPRESSO input format:
```
&SYSTEM
  ibrav = 0, nat = 5, ntyp = 4
/
ATOMIC_SPECIES
Zn 65.41 Zn.upf
Te 127.60 Te.upf
Pb 207.20 Pb.upf
Ge 72.64 Ge.upf
CELL_PARAMETERS angstrom
-2.510 4.906 -2.306
-4.566 -1.608 1.550
0.767 2.837 5.201
ATOMIC_POSITIONS angstrom
Zn -2.283 -0.804 0.775
Te -1.255 2.453 -1.153
Te 0.383 1.418 2.600
Pb 0.000 0.000 0.000
Ge -3.155 3.068 2.222
```

***

# 3
This record from Alexandria describes crystalline CoSbTe2As at its relaxed geometry. The functional is PBE-GGA. Values from VASP.

Computed properties:
- spin magnetization (μB/cell) = 0.000
- formation energy (no corrections) (meV/atom) = 483
- V (Å³ per cell) = 123.0
- energy (eV/atom) = -3.95
- N(E_F) (states/eV/f.u.) = 6.73
- excess energy over the best structure of this formula in the dataset (meV/atom) = 0.0

The structure in Quantum ESPRESSO input format:
```
&SYSTEM
  ibrav = 0, nat = 5, ntyp = 4
/
ATOMIC_SPECIES
Te 127.60 Te.upf
Sb 121.76 Sb.upf
Co 58.93 Co.upf
As 74.92 As.upf
CELL_PARAMETERS angstrom
-3.745 -3.284 -0.777
2.919 -3.734 1.717
-1.626 0.792 4.488
ATOMIC_POSITIONS angstrom
Te 1.459 -1.867 0.859
Te -1.872 -1.642 -0.389
Sb -0.813 0.396 2.244
Co 0.000 0.000 0.000
As -1.226 -3.113 2.714
```

***

# 4
This record from Alexandria describes crystalline K2Pa3RuO12 at its relaxed geometry. The functional is PBE-GGA. Values from VASP.

Computed properties:
- spin magnetization (μB/cell) = 1.048
- formation energy (no corrections) (meV/atom) = -2513
- V (Å³ per cell) = 349.5
- energy (eV/atom) = -8.04
- N(E_F) (states/eV/f.u.) = 6.54

The structure in Quantum ESPRESSO input format:
```
&SYSTEM
  ibrav = 0, nat = 18, ntyp = 4
/
ATOMIC_SPECIES
O 16.00 O.upf
K 39.10 K.upf
Pa 231.04 Pa.upf
Ru 101.07 Ru.upf
CELL_PARAMETERS angstrom
7.827 -0.065 -0.046
3.809 6.838 -0.046
3.809 2.217 6.469
ATOMIC_POSITIONS angstrom
O 8.127 4.730 0.379
O 5.685 6.117 4.339
O 9.405 8.528 6.049
O 7.319 7.069 2.038
O 3.386 1.971 4.634
O 9.761 2.873 2.038
O 6.041 0.462 0.328
O 7.319 4.260 5.998
O 8.127 1.922 4.339
O 12.060 7.020 1.743
O 3.386 5.025 0.328
O 12.060 3.966 6.049
K 9.320 5.425 3.848
K 6.125 3.565 2.529
Pa 1.905 1.109 3.235
Pa 3.914 -0.032 -0.023
Pa 1.905 3.419 -0.023
Ru 0.000 0.000 0.000
```

***

# 5
This record from Alexandria describes crystalline Tb2Dy3HoTm6 at its relaxed geometry. The functional is PBE-GGA. Values from VASP.

Computed properties:
- spin magnetization (μB/cell) = 0.000
- V (Å³ per cell) = 365.9
- energy (eV/atom) = -4.52
- N(E_F) (states/eV/f.u.) = 16.21

The structure in Quantum ESPRESSO input format:
```
&SYSTEM
  ibrav = 0, nat = 12, ntyp = 4
/
ATOMIC_SPECIES
Ho 164.93 Ho.upf
Tb 158.93 Tb.upf
Tm 168.93 Tm.upf
Dy 162.50 Dy.upf
CELL_PARAMETERS angstrom
-0.831 -1.479 5.837
5.550 1.466 -1.998
-3.567 10.978 1.221
ATOMIC_POSITIONS angstrom
Ho 0.000 0.000 0.000
Tb 3.423 0.484 0.613
Tb 1.296 -0.498 3.225
Tm -0.775 2.252 2.571
Tm 1.352 3.233 -0.040
Tm -0.200 7.731 5.099
Tm 2.649 2.737 3.186
Tm 1.927 8.712 2.488
Tm -1.497 8.227 1.873
Dy -1.551 4.500 5.142
Dy 2.703 6.464 -0.083
Dy 0.576 5.482 2.530
```

***

# 6
This record from Alexandria describes crystalline YCdCuNi2 at its relaxed geometry. The functional is PBE-GGA. Values from VASP.

Computed properties:
- spin magnetization (μB/cell) = 0.000
- V (Å³ per cell) = 103.6
- energy (eV/atom) = -4.04
- N(E_F) (states/eV/f.u.) = 4.31

The structure in Quantum ESPRESSO input format:
```
&SYSTEM
  ibrav = 0, nat = 5, ntyp = 4
/
ATOMIC_SPECIES
Cu 63.55 Cu.upf
Y 88.91 Y.upf
Ni 58.69 Ni.upf
Cd 112.41 Cd.upf
CELL_PARAMETERS angstrom
4.717 0.000 0.000
0.000 4.656 0.000
0.000 0.000 4.717
ATOMIC_POSITIONS angstrom
Cu 0.000 2.328 0.000
Y 2.358 2.328 2.358
Ni 2.358 0.000 0.000
Ni 0.000 0.000 2.358
Cd 0.000 0.000 0.000
```

***

# 7
This record from Alexandria describes crystalline Sr4BiPI2 at its relaxed geometry. The functional is PBE-GGA. Values from VASP.

Computed properties:
- spin magnetization (μB/cell) = 0.000
- formation energy (no corrections) (meV/atom) = -1306
- V (Å³ per cell) = 309.5
- energy (eV/atom) = -3.70

The structure in Quantum ESPRESSO input format:
```
&SYSTEM
  ibrav = 0, nat = 8, ntyp = 4
/
ATOMIC_SPECIES
I 126.90 I.upf
P 30.97 P.upf
Bi 208.98 Bi.upf
Sr 87.62 Sr.upf
CELL_PARAMETERS angstrom
4.727 0.000 0.000
0.000 8.405 -0.218
0.000 2.901 7.714
ATOMIC_POSITIONS angstrom
I 0.000 2.901 7.713
I 2.364 1.451 3.857
P 0.000 5.653 3.748
Bi 2.364 4.203 -0.109
Sr 4.727 3.218 1.897
Sr 2.364 4.614 5.477
Sr 0.000 8.088 5.599
Sr 2.364 6.692 2.019
```

***

# 8
This record from Alexandria describes crystalline TiAlIr2 at its relaxed geometry. The functional is PBE-GGA. Values from VASP.

Computed properties:
- spin magnetization (μB/cell) = 0.000
- V (Å³ per cell) = 58.1
- energy (eV/atom) = -8.24
- N(E_F) (states/eV/f.u.) = 1.77

The structure in Quantum ESPRESSO input format:
```
&SYSTEM
  ibrav = 0, nat = 4, ntyp = 3
/
ATOMIC_SPECIES
Ir 192.22 Ir.upf
Al 26.98 Al.upf
Ti 47.87 Ti.upf
CELL_PARAMETERS angstrom
3.424 0.000 0.000
0.000 4.121 0.000
0.000 0.000 4.121
ATOMIC_POSITIONS angstrom
Ir 0.000 2.060 0.000
Ir 0.000 0.000 2.060
Al 1.712 2.060 2.060
Ti 1.712 0.000 0.000
```